1.
# NaFeSbTe2

A geometry-optimized NaFeSbTe2 structure (GGA-PBE, Alexandria).

a = 5.465 Å, b = 5.465 Å, c = 5.305 Å
α = 90.00°, β = 90.00°, γ = 90.00°
Fractional coordinates of all 5 atoms:
Na (0.000, 0.000, 0.000)
Fe (0.500, 0.500, 0.500)
Sb (0.000, 0.000, 0.500)
Te (0.000, 0.500, 0.000)
Te (0.500, 0.000, 0.000)

Calculated values
Final energy = -0.107 hartree per atom
Uncorrected formation energy = 1.118 eV per atom
Energy above the lowest structure with this stoichiometry = 1045 meV per atom
Spin magnetization = 3.54 μB per formula unit
Volume = 158.47 Å³ per cell
Density of states at the Fermi level = 7.37 states/eV per cell
SG = P4/mmm (123)

=====

2.
# Hf2NbW

A geometry-optimized Hf2NbW structure (GGA-PBE, Alexandria).

a = 3.314 Å, b = 3.314 Å, c = 7.034 Å
α = 90.00°, β = 90.00°, γ = 90.00°
Fractional coordinates of all 4 atoms:
Hf (0.000, 0.000, 0.234)
Hf (0.000, 0.000, 0.766)
Nb (0.500, 0.500, 0.500)
W (0.500, 0.500, 0.000)

Calculated values
Final energy = -0.390 hartree per atom
Energy above the lowest structure with this stoichiometry = 0 meV per atom
Spin magnetization = 0.00 μB per formula unit
Volume = 77.25 Å³ per cell
ΔE_f = 0.1298 eV/atom
Density of states at the Fermi level = 6.67 states/eV per cell
SG = P4/mmm (123)

=====

3.
# La3Zr

A geometry-optimized La3Zr structure (GGA-PBE, Alexandria).

a = 11.893 Å, b = 11.893 Å, c = 11.893 Å
α = 17.18°, β = 17.18°, γ = 17.18°
Fractional coordinates of all 4 atoms:
La (0.000, 0.000, 0.000)
La (0.244, 0.244, 0.244)
La (0.756, 0.756, 0.756)
Zr (0.500, 0.500, 0.500)

Calculated values
Final energy = -0.210 hartree per atom
Spin magnetization = 0.00 μB per formula unit
Volume = 128.03 Å³ per cell
ΔE_f = 0.1286 eV/atom
Density of states at the Fermi level = 6.33 states/eV per cell
SG = R-3m (166)

=====

4.
# Pu2ZnSi

A geometry-optimized Pu2ZnSi structure (GGA-PBE, Alexandria).

a = 4.788 Å, b = 4.788 Å, c = 4.788 Å
α = 111.34°, β = 111.34°, γ = 105.80°
Fractional coordinates of all 4 atoms:
Pu (0.250, 0.750, 0.500)
Pu (0.750, 0.250, 0.500)
Zn (0.000, 0.000, 0.000)
Si (0.500, 0.500, 0.000)

Calculated values
Final energy = -0.333 hartree per atom
Uncorrected formation energy = -0.208 eV per atom
Spin magnetization = 11.48 μB per formula unit
Volume = 84.24 Å³ per cell
Density of states at the Fermi level = 12.07 states/eV per cell
SG = I4/mmm (139)

=====

5.
# Ba2MgSb4Pd3

A geometry-optimized Ba2MgSb4Pd3 structure (GGA-PBE, Alexandria).

a = 4.753 Å, b = 4.753 Å, c = 11.450 Å
α = 90.00°, β = 90.00°, γ = 90.00°
Fractional coordinates of all 10 atoms:
Ba (0.000, 0.500, 0.246)
Ba (0.500, 0.000, 0.754)
Mg (0.000, 0.000, 0.500)
Sb (0.000, 0.000, 0.000)
Sb (0.000, 0.500, 0.639)
Sb (0.500, 0.000, 0.361)
Sb (0.500, 0.500, 0.000)
Pd (0.000, 0.500, 0.879)
Pd (0.500, 0.000, 0.121)
Pd (0.500, 0.500, 0.500)

Calculated values
Final energy = -0.167 hartree per atom
Uncorrected formation energy = -0.787 eV per atom
Spin magnetization = 0.00 μB per formula unit
Volume = 258.66 Å³ per cell
Density of states at the Fermi level = 3.44 states/eV per cell
SG = P-4m2 (115)

=====

6.
# KAsCl

A geometry-optimized KAsCl structure (GGA-PBE, Alexandria).

a = 5.491 Å, b = 5.491 Å, c = 5.491 Å
α = 60.00°, β = 60.00°, γ = 60.00°
Fractional coordinates of all 3 atoms:
K (0.000, 0.000, 0.000)
As (0.250, 0.250, 0.250)
Cl (0.750, 0.750, 0.750)

Calculated values
Final energy = -0.099 hartree per atom
Uncorrected formation energy = -0.160 eV per atom
Energy above the lowest structure with this stoichiometry = 228 meV per atom
Spin magnetization = 3.00 μB per formula unit
Volume = 117.05 Å³ per cell
SG = F-43m (216)